# 1
IrRh3Pb, optimized geometry, DFT PBE; space-group type = Pm-3m, No. 221; D(E_F) = 7.9 states/eV per cell; theoretical density = 10.78 g/cm3; formation enthalpy at 0 K = 99.0 kJ per mole of atoms
1.0
4.777 0.000 0.000
0.000 4.777 0.000
0.000 0.000 4.777
Ir Rh Pb
1 3 1
direct
0.000 0.000 0.000
0.000 0.000 0.500
0.000 0.500 0.000
0.500 0.000 0.000
0.500 0.500 0.500

---

# 2
Ir2RhPb2, optimized geometry, DFT PBE; space-group type = I4/mmm, No. 139; D(E_F) = 5.8 states/eV per cell; theoretical density = 14.24 g/cm3; formation enthalpy at 0 K = 49.2 kJ per mole of atoms
1.0
-1.779 1.779 8.301
1.779 -1.779 8.301
1.779 1.779 -8.301
Ir Rh Pb
2 1 2
direct
0.250 0.750 0.500
0.750 0.250 0.500
0.000 0.000 0.000
0.400 0.400 0.000
0.600 0.600 0.000

---

- Which value of D(E_F) does entry 1 give?
  7.9 states/eV per cell

---

- Which value of formation enthalpy at 0 K does entry 2 give?
  49.2 kJ per mole of atoms